(1)
# RbHf2H | Alexandria via LeMat-Bulk | PBE | optimized geometry
data_RbHf2H
_symmetry_space_group_name_H-M 'P 1'
_symmetry_Int_Tables_number 1
_cell_length_a 5.021
_cell_length_b 5.021
_cell_length_c 5.021
_cell_angle_alpha 60.00
_cell_angle_beta 60.00
_cell_angle_gamma 60.00
loop_
_symmetry_equiv_pos_as_xyz
'x,y,z'
loop_
_atom_site_label
_atom_site_fract_x
_atom_site_fract_y
_atom_site_fract_z
_atom_site_occupancy
Rb1 0.000 0.000 0.000 1
Hf1 0.250 0.250 0.250 1
Hf2 0.750 0.750 0.750 1
H1 0.500 0.500 0.500 1
# - DOS at the Fermi energy (states/eV per atom) = 1.167
# - magnetic moment (μB/f.u.) = 0.0
# - raw total energy (eV/atom) = -4.10



(2)
# RbHf2HRh | Alexandria via LeMat-Bulk | PBE | optimized geometry
data_RbHf2HRh
_symmetry_space_group_name_H-M 'P 1'
_symmetry_Int_Tables_number 1
_cell_length_a 4.869
_cell_length_b 4.869
_cell_length_c 7.238
_cell_angle_alpha 90.00
_cell_angle_beta 90.00
_cell_angle_gamma 90.00
loop_
_symmetry_equiv_pos_as_xyz
'x,y,z'
loop_
_atom_site_label
_atom_site_fract_x
_atom_site_fract_y
_atom_site_fract_z
_atom_site_occupancy
Rb1 0.000 0.000 0.000 1
Hf1 0.000 0.500 0.500 1
Hf2 0.500 0.000 0.500 1
H1 0.500 0.500 0.000 1
Rh1 0.000 0.000 0.500 1
# - DOS at the Fermi energy (states/eV per atom) = 0.693
# - magnetic moment (μB/f.u.) = 0.0
# - raw total energy (eV/atom) = -5.49



(3)
# Rb2HfH2S4 | Alexandria via LeMat-Bulk | PBE | optimized geometry
data_Rb2HfH2S4
_symmetry_space_group_name_H-M 'P 1'
_symmetry_Int_Tables_number 1
_cell_length_a 8.785
_cell_length_b 8.785
_cell_length_c 7.274
_cell_angle_alpha 112.57
_cell_angle_beta 112.57
_cell_angle_gamma 22.67
loop_
_symmetry_equiv_pos_as_xyz
'x,y,z'
loop_
_atom_site_label
_atom_site_fract_x
_atom_site_fract_y
_atom_site_fract_z
_atom_site_occupancy
Rb1 0.141 0.141 0.128 1
Rb2 0.859 0.859 0.872 1
Hf1 0.000 0.000 0.500 1
H1 0.324 0.324 0.377 1
H2 0.676 0.676 0.623 1
S1 0.168 0.168 0.660 1
S2 0.500 0.500 0.253 1
S3 0.500 0.500 0.747 1
S4 0.832 0.832 0.340 1
# - magnetic moment (μB/f.u.) = 0.0
# - raw total energy (eV/atom) = -4.80



(4)
# RbHfHS2 | Alexandria via LeMat-Bulk | PBE | optimized geometry
data_RbHfHS2
_symmetry_space_group_name_H-M 'P 1'
_symmetry_Int_Tables_number 1
_cell_length_a 5.028
_cell_length_b 5.028
_cell_length_c 4.220
_cell_angle_alpha 90.00
_cell_angle_beta 90.00
_cell_angle_gamma 90.00
loop_
_symmetry_equiv_pos_as_xyz
'x,y,z'
loop_
_atom_site_label
_atom_site_fract_x
_atom_site_fract_y
_atom_site_fract_z
_atom_site_occupancy
Rb1 0.000 0.000 0.000 1
Hf1 0.500 0.500 0.500 1
H1 0.500 0.500 0.000 1
S1 0.000 0.500 0.500 1
S2 0.500 0.000 0.500 1
# - magnetic moment (μB/f.u.) = 0.0
# - raw total energy (eV/atom) = -5.57



(5)
# RbHfHSe2 | Alexandria via LeMat-Bulk | PBE | optimized geometry
data_RbHfHSe2
_symmetry_space_group_name_H-M 'P 1'
_symmetry_Int_Tables_number 1
_cell_length_a 5.281
_cell_length_b 5.281
_cell_length_c 4.223
_cell_angle_alpha 90.00
_cell_angle_beta 90.00
_cell_angle_gamma 90.00
loop_
_symmetry_equiv_pos_as_xyz
'x,y,z'
loop_
_atom_site_label
_atom_site_fract_x
_atom_site_fract_y
_atom_site_fract_z
_atom_site_occupancy
Rb1 0.000 0.000 0.000 1
Hf1 0.500 0.500 0.500 1
H1 0.500 0.500 0.000 1
Se1 0.000 0.500 0.500 1
Se2 0.500 0.000 0.500 1
# - DOS at the Fermi energy (states/eV per atom) = 0.034
# - energy above the lowest structure with this stoichiometry (meV/atom) = 149
# - magnetic moment (μB/f.u.) = 0.0



(6)
# Rb2HfH2Se4 | Alexandria via LeMat-Bulk | PBE | optimized geometry
data_Rb2HfH2Se4
_symmetry_space_group_name_H-M 'P 1'
_symmetry_Int_Tables_number 1
_cell_length_a 9.109
_cell_length_b 9.109
_cell_length_c 7.554
_cell_angle_alpha 112.58
_cell_angle_beta 112.58
_cell_angle_gamma 23.09
loop_
_symmetry_equiv_pos_as_xyz
'x,y,z'
loop_
_atom_site_label
_atom_site_fract_x
_atom_site_fract_y
_atom_site_fract_z
_atom_site_occupancy
Rb1 0.142 0.142 0.132 1
Rb2 0.858 0.858 0.868 1
Hf1 0.000 0.000 0.500 1
H1 0.321 0.321 0.385 1
H2 0.679 0.679 0.615 1
Se1 0.170 0.170 0.661 1
Se2 0.499 0.499 0.248 1
Se3 0.501 0.501 0.752 1
Se4 0.830 0.830 0.339 1
# - magnetic moment (μB/f.u.) = 0.0
# - raw total energy (eV/atom) = -4.42